Entry 1:
Density functional theory data (PBE) for VPdBr2 after structural relaxation.

Theoretical density, g/cm3: 5.48
Formation energy from raw total energies, kJ/mol of atoms: -12
DOS(E_F), states/eV/atom: 0.07

```
data_VPdBr2
_chemical_formula_sum 'V3 Pd3 Br6'
_symmetry_space_group_name_H-M 'R -3 m'
_symmetry_Int_Tables_number 166
_symmetry_space_group_name_Hall '-R 3 2"'
_cell_length_a 3.7434
_cell_length_b 3.7434
_cell_length_c 23.7594
_cell_angle_alpha 90.00
_cell_angle_beta 90.00
_cell_angle_gamma 120.00
loop_
_atom_site_label
_atom_site_type_symbol
_atom_site_fract_x
_atom_site_fract_y
_atom_site_fract_z
_atom_site_occupancy
V1 V 0.0000 0.0000 0.0000 1
Pd1 Pd 0.0000 0.0000 0.5000 1
Br1 Br 0.0000 0.0000 0.3959 1
```

---

Entry 2:
Density functional theory data (PBE) for VPd2Br after structural relaxation.

Theoretical density, g/cm3: 8.26
Formation energy from raw total energies, kJ/mol of atoms: 36
DOS(E_F), states/eV/atom: 0.86

```
data_VPd2Br
_chemical_formula_sum 'V4 Pd8 Br4'
_symmetry_space_group_name_H-M 'F m -3 m'
_symmetry_Int_Tables_number 225
_symmetry_space_group_name_Hall '-F 4 2 3'
_cell_length_a 6.514
_cell_length_b 6.514
_cell_length_c 6.514
_cell_angle_alpha 90.00
_cell_angle_beta 90.00
_cell_angle_gamma 90.00
loop_
_atom_site_label
_atom_site_type_symbol
_atom_site_fract_x
_atom_site_fract_y
_atom_site_fract_z
_atom_site_occupancy
V1 V 0.000 0.000 0.000 1
Pd1 Pd 0.250 0.250 0.250 1
Br1 Br 0.000 0.000 0.500 1
```

---

Entry 3:
Density functional theory data (PBE) for V2Pd2Br after structural relaxation.

Theoretical density, g/cm3: 7.04
Formation energy from raw total energies, kJ/mol of atoms: 33
DOS(E_F), states/eV/atom: 1.15

```
data_V2Pd2Br
_chemical_formula_sum 'V4 Pd4 Br2'
_symmetry_space_group_name_H-M 'I 4/m m m'
_symmetry_Int_Tables_number 139
_symmetry_space_group_name_Hall '-I 4 2'
_cell_length_a 3.769
_cell_length_b 3.769
_cell_length_c 13.111
_cell_angle_alpha 90.00
_cell_angle_beta 90.00
_cell_angle_gamma 90.00
loop_
_atom_site_label
_atom_site_type_symbol
_atom_site_fract_x
_atom_site_fract_y
_atom_site_fract_z
_atom_site_occupancy
V1 V 0.000 0.000 0.110 1
Pd1 Pd 0.000 0.500 0.250 1
Br1 Br 0.000 0.000 0.500 1
```

---

Entry 4:
Density functional theory data (PBE) for V3PdBr after structural relaxation.

Theoretical density, g/cm3: 4.89
Formation energy from raw total energies, kJ/mol of atoms: 113
DOS(E_F), states/eV/atom: 2.54

```
data_V3PdBr
_chemical_formula_sum 'V3 Pd1 Br1'
_symmetry_space_group_name_H-M 'P m -3 m'
_symmetry_Int_Tables_number 221
_symmetry_space_group_name_Hall '-P 4 2 3'
_cell_length_a 4.867
_cell_length_b 4.867
_cell_length_c 4.867
_cell_angle_alpha 90.00
_cell_angle_beta 90.00
_cell_angle_gamma 90.00
loop_
_atom_site_label
_atom_site_type_symbol
_atom_site_fract_x
_atom_site_fract_y
_atom_site_fract_z
_atom_site_occupancy
V1 V 0.000 0.000 0.500 1
Pd1 Pd 0.000 0.000 0.000 1
Br1 Br 0.500 0.500 0.500 1
```

---

Entry 5:
Density functional theory data (PBE) for V3PdBr after structural relaxation.

Theoretical density, g/cm3: 6.27
Formation energy from raw total energies, kJ/mol of atoms: 96
DOS(E_F), states/eV/atom: 0.91

```
data_V3PdBr
_chemical_formula_sum 'V3 Pd1 Br1'
_symmetry_space_group_name_H-M 'P m -3 m'
_symmetry_Int_Tables_number 221
_symmetry_space_group_name_Hall '-P 4 2 3'
_cell_length_a 4.479
_cell_length_b 4.479
_cell_length_c 4.479
_cell_angle_alpha 90.00
_cell_angle_beta 90.00
_cell_angle_gamma 90.00
loop_
_atom_site_label
_atom_site_type_symbol
_atom_site_fract_x
_atom_site_fract_y
_atom_site_fract_z
_atom_site_occupancy
V1 V 0.000 0.000 0.500 1
Pd1 Pd 0.500 0.500 0.500 1
Br1 Br 0.000 0.000 0.000 1
```

---

Entry 6:
Density functional theory data (PBE) for VPd3Br9 after structural relaxation.

Theoretical density, g/cm3: 4.14
Formation energy from raw total energies, kJ/mol of atoms: -38
DOS(E_F), states/eV/atom: 0.18

```
data_VPd3Br9
_chemical_formula_sum 'V4 Pd12 Br36'
_symmetry_space_group_name_H-M 'C 1 c 1'
_symmetry_Int_Tables_number 9
_cell_length_a 21.527
_cell_length_b 7.359
_cell_length_c 13.399
_cell_angle_alpha 90.00
_cell_angle_beta 124.54
_cell_angle_gamma 90.00
loop_
_symmetry_equiv_pos_as_xyz
'x,y,z'
'x,-y,z+1/2'
'x+1/2,y+1/2,z'
'x+1/2,-y+1/2,z+1/2'
loop_
_atom_site_label
_atom_site_type_symbol
_atom_site_fract_x
_atom_site_fract_y
_atom_site_fract_z
_atom_site_occupancy
V1 V 0.000 0.222 0.000 1
Pd1 Pd 0.056 0.458 0.747 1
Pd2 Pd 0.186 0.102 0.716 1
Pd3 Pd 0.321 0.333 0.752 1
Br1 Br 0.060 0.065 0.523 1
Br2 Br 0.115 0.423 0.144 1
Br3 Br 0.129 0.173 0.828 1
Br4 Br 0.253 0.073 0.616 1
Br5 Br 0.313 0.151 0.902 1
Br6 Br 0.317 0.498 0.093 1
Br7 Br 0.368 0.397 0.384 1
Br8 Br 0.474 0.143 0.314 1
Br9 Br 0.476 0.228 0.659 1
```

---

Entry 7:
Density functional theory data (PBE) for VPdBr2 after structural relaxation.

Theoretical density, g/cm3: 5.36
Formation energy from raw total energies, kJ/mol of atoms: 4
DOS(E_F), states/eV/atom: 0.83

```
data_VPdBr2
_chemical_formula_sum 'V4 Pd4 Br8'
_symmetry_space_group_name_H-M 'I -4 2 d'
_symmetry_Int_Tables_number 122
_symmetry_space_group_name_Hall 'I -4 2bw'
_cell_length_a 5.212
_cell_length_b 5.212
_cell_length_c 14.475
_cell_angle_alpha 90.00
_cell_angle_beta 90.00
_cell_angle_gamma 90.00
loop_
_atom_site_label
_atom_site_type_symbol
_atom_site_fract_x
_atom_site_fract_y
_atom_site_fract_z
_atom_site_occupancy
V1 V 0.000 0.000 0.000 1
Pd1 Pd 0.000 0.000 0.500 1
Br1 Br 0.236 0.250 0.125 1
```

---

Entry 8:
Density functional theory data (PBE) for ZrVPd2Br after structural relaxation.

Theoretical density, g/cm3: 7.10
Formation energy from raw total energies, kJ/mol of atoms: 63
DOS(E_F), states/eV/atom: 0.94

```
data_ZrVPd2Br
_chemical_formula_sum 'Zr1 V1 Pd2 Br1'
_symmetry_space_group_name_H-M 'P 4/m m m'
_symmetry_Int_Tables_number 123
_symmetry_space_group_name_Hall '-P 4 2'
_cell_length_a 4.739
_cell_length_b 4.739
_cell_length_c 4.527
_cell_angle_alpha 90.00
_cell_angle_beta 90.00
_cell_angle_gamma 90.00
loop_
_atom_site_label
_atom_site_type_symbol
_atom_site_fract_x
_atom_site_fract_y
_atom_site_fract_z
_atom_site_occupancy
Zr1 Zr 0.000 0.000 0.000 1
V1 V 0.500 0.500 0.000 1
Pd1 Pd 0.000 0.500 0.500 1
Br1 Br 0.500 0.500 0.500 1
```

---

Entry 9:
Density functional theory data (PBE) for PdWBr after structural relaxation.

Theoretical density, g/cm3: 9.78
Formation energy from raw total energies, kJ/mol of atoms: 25
DOS(E_F), states/eV/atom: 0.59

```
data_PdWBr
_chemical_formula_sum 'Pd2 W2 Br2'
_symmetry_space_group_name_H-M 'P 1'
_symmetry_Int_Tables_number 1
_cell_length_a 3.198
_cell_length_b 5.505
_cell_length_c 7.556
_cell_angle_alpha 103.77
_cell_angle_beta 91.65
_cell_angle_gamma 102.53
loop_
_symmetry_equiv_pos_as_xyz
'x,y,z'
loop_
_atom_site_label
_atom_site_type_symbol
_atom_site_fract_x
_atom_site_fract_y
_atom_site_fract_z
_atom_site_occupancy
Pd1 Pd 0.000 0.000 0.000 1
Pd2 Pd 0.303 0.578 0.114 1
W1 W 0.322 0.662 0.755 1
W2 W 0.705 0.351 0.848 1
Br1 Br 0.162 0.423 0.406 1
Br2 Br 0.570 0.003 0.563 1
```

---

Entry 10:
Density functional theory data (PBE) for PdW2Br after structural relaxation.

Theoretical density, g/cm3: 10.02
Formation energy from raw total energies, kJ/mol of atoms: 177
DOS(E_F), states/eV/atom: 1.80

```
data_PdW2Br
_chemical_formula_sum 'Pd4 W8 Br4'
_symmetry_space_group_name_H-M 'I -4 2 d'
_symmetry_Int_Tables_number 122
_symmetry_space_group_name_Hall 'I -4 2bw'
_cell_length_a 5.664
_cell_length_b 5.664
_cell_length_c 11.445
_cell_angle_alpha 90.00
_cell_angle_beta 90.00
_cell_angle_gamma 90.00
loop_
_atom_site_label
_atom_site_type_symbol
_atom_site_fract_x
_atom_site_fract_y
_atom_site_fract_z
_atom_site_occupancy
Pd1 Pd 0.000 0.000 0.000 1
W1 W 0.244 0.250 0.125 1
Br1 Br 0.000 0.000 0.500 1
```

---

Entry 11:
Density functional theory data (PBE) for Pd2WBr after structural relaxation.

Theoretical density, g/cm3: 11.43
Formation energy from raw total energies, kJ/mol of atoms: 90
DOS(E_F), states/eV/atom: 0.93

```
data_Pd2WBr
_chemical_formula_sum 'Pd8 W4 Br4'
_symmetry_space_group_name_H-M 'F m -3 m'
_symmetry_Int_Tables_number 225
_symmetry_space_group_name_Hall '-F 4 2 3'
_cell_length_a 6.517
_cell_length_b 6.517
_cell_length_c 6.517
_cell_angle_alpha 90.00
_cell_angle_beta 90.00
_cell_angle_gamma 90.00
loop_
_atom_site_label
_atom_site_type_symbol
_atom_site_fract_x
_atom_site_fract_y
_atom_site_fract_z
_atom_site_occupancy
Pd1 Pd 0.250 0.250 0.250 1
W1 W 0.000 0.000 0.000 1
Br1 Br 0.000 0.000 0.500 1
```

---

Entry 12:
Density functional theory data (PBE) for PdWBr after structural relaxation.

Theoretical density, g/cm3: 9.39
Formation energy from raw total energies, kJ/mol of atoms: 15
DOS(E_F), states/eV/atom: 0.45

```
data_PdWBr
_chemical_formula_sum 'Pd2 W2 Br2'
_symmetry_space_group_name_H-M 'P 1 m 1'
_symmetry_Int_Tables_number 6
_cell_length_a 4.531
_cell_length_b 3.149
_cell_length_c 9.267
_cell_angle_alpha 90.00
_cell_angle_beta 98.13
_cell_angle_gamma 90.00
loop_
_symmetry_equiv_pos_as_xyz
'x,y,z'
'x,-y,z'
loop_
_atom_site_label
_atom_site_type_symbol
_atom_site_fract_x
_atom_site_fract_y
_atom_site_fract_z
_atom_site_occupancy
Pd1 Pd 0.000 0.000 0.000 1
Pd2 Pd 0.495 0.500 0.996 1
W1 W 0.068 0.500 0.764 1
W2 W 0.567 0.000 0.773 1
Br1 Br 0.247 0.500 0.241 1
Br2 Br 0.835 0.000 0.543 1
```

---

Q: The lowest theoretical density belongs to which entry?
A: VPd3Br9

---

Q: Among the records above, which one has the highest formation energy from raw total energies?
A: PdW2Br